# PBE with a Hubbard U Sr2Co2O5, relaxed
data_Sr2Co2O5
_chemical_formula_sum 'Sr4 Co4 O10'
_cell_length_a 6.448
_cell_length_b 6.448
_cell_length_c 7.204
_cell_angle_alpha 90.00
_cell_angle_beta 90.00
_cell_angle_gamma 90.00
_symmetry_space_group_name_H-M 'I 4/m m m'
_symmetry_Int_Tables_number 139
_symmetry_space_group_name_Hall '-I 4 2'
loop_
_atom_site_label
_atom_site_type_symbol
_atom_site_fract_x
_atom_site_fract_y
_atom_site_fract_z
_atom_site_occupancy
Sr1 Sr 0.000 0.000 0.199 1
Co1 Co 0.000 0.500 0.000 1
O1 O 0.000 0.000 0.500 1
O2 O 0.250 0.250 0.250 1
# * distance to the lowest polymorph of the same formula: 1553 meV/atom